(1)
An optimized crystal structure of Mg3ReSe. Source: Alexandria via LeMat-Bulk, functional PBE-GGA.

Output
As for the relative energy among the computed polymorphs: 0.0000 eV/atom. The symmetry is Pm-3m (221).

abc: 4.9028 4.9028 4.9028
angles: 90.00 90.00 90.00
Closest atoms and distances in Å follow each position.
Atoms (fractional coordinates):
Mg1 0.0000 0.0000 0.5000  2 Se 2.45
Mg2 0.0000 0.5000 0.0000  2 Se 2.45
Mg3 0.5000 0.0000 0.0000  2 Se 2.45
Re1 0.5000 0.5000 0.5000  12 Mg 3.47
Se1 0.0000 0.0000 0.0000  6 Mg 2.45

***

(2)
An optimized crystal structure of Ga2H6W. Source: Alexandria via LeMat-Bulk, functional PBE-GGA.

Output
The raw total energy comes out at -36.90 eV/cell. The symmetry is Fm-3m (225).

abc: 4.7060 4.7060 4.7060
angles: 60.00 60.00 60.00
Closest atoms and distances in Å follow each position.
Atoms (fractional coordinates):
Ga1 0.2500 0.2500 0.2500  12 H 2.36
Ga2 0.7500 0.7500 0.7500  12 H 2.36
H1 0.2329 0.2329 0.7671  1 W 1.78
H2 0.2329 0.7671 0.2329  1 W 1.78
H3 0.2329 0.7671 0.7671  1 W 1.78
H4 0.7671 0.2329 0.2329  1 W 1.78
H5 0.7671 0.2329 0.7671  1 W 1.78
H6 0.7671 0.7671 0.2329  1 W 1.78
W1 0.5000 0.5000 0.5000  6 H 1.78